Compound: Sr2ErSe3
Source: OQMD via LeMat-Bulk
Functional: GGA-PBE
Structure: relaxed

Cell and atoms, written as extended XYZ:
```
6
Lattice="4.255 0.000 0.000 -2.127 3.685 0.000 0.000 0.000 10.631" Properties=species:S:1:pos:R:3 pbc="T T T"
Sr 0.000 2.457 1.843
Sr 2.127 1.228 8.788
Er 0.000 0.000 5.315
Se 0.000 0.000 0.000
Se 0.000 2.457 6.891
Se 2.127 1.228 3.740
```

Output
E_tot, eV per formula unit: -29.9


Compound: BaZnP2O7
Source: OQMD via LeMat-Bulk
Functional: GGA-PBE
Structure: relaxed

Cell and atoms, written as extended XYZ:
```
22
Lattice="5.311 0.000 0.000 -0.503 7.234 0.000 -0.278 -1.675 7.364" Properties=species:S:1:pos:R:3 pbc="T T T"
Ba 0.838 1.249 3.164
Ba 3.693 4.311 4.200
Zn 0.776 -0.677 6.588
Zn 3.755 6.236 0.776
P 0.958 3.431 6.631
P 1.095 5.074 2.134
P 3.435 0.485 5.230
P 3.572 2.128 0.733
O -0.205 5.903 2.223
O -0.120 4.560 6.668
O 0.682 2.420 5.566
O 1.094 4.341 0.690
O 1.106 3.986 3.191
O 2.165 1.506 0.773
O 2.203 -0.424 5.150
O 2.327 5.983 2.214
O 2.365 4.053 6.591
O 3.424 1.573 4.173
O 3.436 1.218 6.674
O 3.849 3.139 1.798
O 4.650 0.999 0.696
O 4.735 -0.344 5.140
```

Output
E_tot, eV per formula unit: -74.9


Compound: ZrC
Source: OQMD via LeMat-Bulk
Functional: GGA-PBE
Structure: relaxed

Cell and atoms, written as extended XYZ:
```
4
Lattice="3.386 0.000 0.000 -1.693 2.932 0.000 0.000 0.000 5.278" Properties=species:S:1:pos:R:3 pbc="T T T"
Zr 0.000 1.955 1.320
Zr 1.693 0.977 3.959
C 0.000 0.000 0.000
C 0.000 0.000 2.639
```

Output
E_tot, eV per formula unit: -19.1


Compound: ErCl
Source: OQMD via LeMat-Bulk
Functional: GGA-PBE
Structure: relaxed

Cell and atoms, written as extended XYZ:
```
2
Lattice="0.000 2.759 2.759 2.759 0.000 2.759 2.759 2.759 0.000" Properties=species:S:1:pos:R:3 pbc="T T T"
Er 0.000 0.000 0.000
Cl 2.759 2.759 2.759
```

Output
E_tot, eV per formula unit: -8.2


Compound: Tb3GdPb2C2
Source: OQMD via LeMat-Bulk
Functional: GGA-PBE
Structure: relaxed

Cell and atoms, written as extended XYZ:
```
8
Lattice="3.660 0.000 0.000 -1.830 3.170 0.000 0.000 0.000 16.288" Properties=species:S:1:pos:R:3 pbc="T T T"
Tb 0.000 0.000 0.000
Tb 0.000 0.000 5.443
Tb 0.000 2.113 8.142
Gd 0.000 2.113 13.584
Pb 0.000 0.000 10.863
Pb 0.000 2.113 2.720
C 1.830 1.057 6.792
C 1.830 1.057 14.939
```

Output
E_tot, eV per formula unit: -48.1


Compound: CsLa2CuTeS3
Source: OQMD via LeMat-Bulk
Functional: GGA-PBE
Structure: relaxed

Cell and atoms, written as extended XYZ:
```
16
Lattice="2.144 -7.483 0.000 2.144 7.483 0.000 0.000 0.000 14.619" Properties=species:S:1:pos:R:3 pbc="T T T"
Cs 2.144 5.554 10.964
Cs 2.144 -5.554 3.655
La 2.144 1.992 8.019
La 2.144 1.992 13.909
La 2.144 -1.992 0.709
La 2.144 -1.992 6.600
Cu 2.144 5.007 3.655
Cu 2.144 -5.007 10.964
Te 2.144 0.960 10.964
Te 2.144 -0.960 3.655
S 0.000 0.000 0.000
S 0.000 0.000 7.309
S 2.144 3.776 1.583
S 2.144 3.776 5.726
S 2.144 -3.776 8.892
S 2.144 -3.776 13.036
```

Output
E_tot, eV per formula unit: -42.6


Compound: RbYLu
Source: OQMD via LeMat-Bulk
Functional: GGA-PBE
Structure: relaxed

Cell and atoms, written as extended XYZ:
```
3
Lattice="0.000 4.005 4.005 4.005 0.000 4.005 4.005 4.005 0.000" Properties=species:S:1:pos:R:3 pbc="T T T"
Rb 0.000 0.000 0.000
Y 2.003 2.003 2.003
Lu 6.008 6.008 6.008
```

Output
E_tot, eV per formula unit: -7.8


Compound: Lu2Ni12As7
Source: OQMD via LeMat-Bulk
Functional: GGA-PBE
Structure: relaxed

Cell and atoms, written as extended XYZ:
```
21
Lattice="9.350 0.000 0.000 -4.675 8.097 0.000 0.000 0.000 3.780" Properties=species:S:1:pos:R:3 pbc="T T T"
Lu 0.000 0.000 0.000
Lu 0.000 5.398 1.890
Ni -3.131 6.163 1.890
Ni -0.840 3.159 0.000
Ni 0.903 2.304 1.890
Ni -1.519 7.245 0.000
Ni 2.649 1.673 0.000
Ni 4.582 0.976 1.890
Ni 3.229 3.641 1.890
Ni 2.359 5.790 0.000
Ni 2.228 7.728 1.890
Ni 6.576 1.457 0.000
Ni 4.800 4.966 0.000
Ni 6.213 3.480 1.890
As -2.214 5.016 0.000
As 2.233 0.301 1.890
As 1.438 3.672 0.000
As 0.776 7.507 0.000
As 4.675 2.699 0.000
As 3.820 6.013 1.890
As 7.972 1.783 1.890
```

Output
E_tot, eV per formula unit: -119.5


Compound: Pm2MgIr2
Source: OQMD via LeMat-Bulk
Functional: GGA-PBE
Structure: relaxed

Cell and atoms, written as extended XYZ:
```
10
Lattice="5.139 -2.789 0.000 5.139 2.789 0.000 -2.453 0.000 7.829" Properties=species:S:1:pos:R:3 pbc="T T T"
Pm 1.546 1.942 6.680
Pm 5.052 1.942 5.063
Pm 2.773 -1.942 2.766
Pm 6.279 -1.942 1.149
Mg 4.526 0.720 1.957
Mg 3.299 -0.720 5.872
Ir 2.515 0.849 3.791
Ir 6.537 0.849 0.124
Ir 1.288 -0.849 7.705
Ir 5.311 -0.849 4.038
```

Output
E_tot, eV per formula unit: -32.0


Compound: AcHfPd
Source: OQMD via LeMat-Bulk
Functional: GGA-PBE
Structure: relaxed

Cell and atoms, written as extended XYZ:
```
3
Lattice="0.000 3.498 3.498 3.498 0.000 3.498 3.498 3.498 0.000" Properties=species:S:1:pos:R:3 pbc="T T T"
Ac 0.000 0.000 0.000
Hf 3.498 3.498 3.498
Pd 1.749 1.749 1.749
```

Output
Calculated formation energy, eV per atom: 0.072


Compound: GdMgTlSe3
Source: OQMD via LeMat-Bulk
Functional: GGA-PBE
Structure: relaxed

Cell and atoms, written as extended XYZ:
```
24
Lattice="11.238 0.000 0.000 0.000 4.242 0.000 0.000 0.000 14.627" Properties=species:S:1:pos:R:3 pbc="T T T"
Gd 0.114 1.061 3.604
Gd 5.505 3.182 10.917
Gd 5.733 1.061 3.710
Gd 11.124 3.182 11.024
Mg 2.700 1.061 10.440
Mg 2.919 3.182 3.126
Mg 8.319 1.061 11.501
Mg 8.538 3.182 4.187
Tl 2.618 3.182 7.322
Tl 3.001 1.061 0.008
Tl 8.237 3.182 14.619
Tl 8.620 1.061 7.305
Se 0.528 1.061 9.119
Se 0.794 3.182 1.746
Se 2.708 3.182 11.953
Se 2.911 1.061 4.639
Se 4.825 1.061 9.060
Se 5.090 3.182 1.805
Se 6.147 1.061 12.822
Se 6.413 3.182 5.568
Se 8.327 3.182 9.988
Se 8.530 1.061 2.674
Se 10.444 1.061 12.881
Se 10.709 3.182 5.509
```

Output
E_tot, eV per formula unit: -26.7


Compound: SrZn2Ni2
Source: OQMD via LeMat-Bulk
Functional: GGA-PBE
Structure: relaxed

Cell and atoms, written as extended XYZ:
```
5
Lattice="-2.066 2.066 5.194 2.066 -2.066 5.194 2.066 2.066 -5.194" Properties=species:S:1:pos:R:3 pbc="T T T"
Sr 0.000 0.000 0.000
Zn 2.066 0.000 2.597
Zn 0.000 2.066 2.597
Ni 0.000 0.000 3.996
Ni 0.000 0.000 6.393
```

Output
E_tot, eV per formula unit: -16.2